No. 1
GGA-PBEsol CrOs2Pb, relaxed; E_form = 989.3 meV per atom
1.0
2.9942 0.0000 0.0000
0.0000 4.5188 0.0000
0.0000 0.0000 4.6061
Cr Os Pb
1 2 1
direct
0.0000 0.0000 0.0000
0.0000 0.5000 0.5000
0.5000 0.5000 0.0000
0.5000 0.0000 0.5000


No. 2
GGA-PBEsol CrOs2Pb, relaxed; E_form = 687.1 meV per atom
1.0
2.9028 0.0000 0.0000
0.0000 2.9028 0.0000
0.0000 0.0000 8.0097
Cr Os Pb
1 2 1
direct
0.0000 0.0000 0.0000
0.0000 0.0000 0.4215
0.5000 0.5000 0.2201
0.5000 0.5000 0.6979


No. 3
GGA-PBEsol CrOsPt2, relaxed; E_form = 339.4 meV per atom
1.0
6.1139 0.0000 0.0000
0.0000 6.1139 0.0000
0.0000 0.0000 6.1139
Cr Os Pt
4 4 8
direct
0.0000 0.0000 0.0000
0.0000 0.5000 0.5000
0.5000 0.0000 0.5000
0.5000 0.5000 0.0000
0.2500 0.2500 0.7500
0.2500 0.7500 0.2500
0.7500 0.2500 0.2500
0.7500 0.7500 0.7500
0.0000 0.0000 0.5000
0.0000 0.5000 0.0000
0.2500 0.2500 0.2500
0.2500 0.7500 0.7500
0.5000 0.0000 0.0000
0.5000 0.5000 0.5000
0.7500 0.2500 0.7500
0.7500 0.7500 0.2500


No. 4
GGA-PBEsol CrOsPt2, relaxed; E_form = -8.0 meV per atom
1.0
3.7699 0.0000 0.0000
0.0000 3.7699 0.0000
0.0000 0.0000 7.8232
Cr Os Pt
2 2 4
direct
0.0000 0.0000 0.0000
0.5000 0.5000 0.5000
0.0000 0.0000 0.5000
0.5000 0.5000 0.0000
0.0000 0.5000 0.2500
0.0000 0.5000 0.7500
0.5000 0.0000 0.2500
0.5000 0.0000 0.7500


No. 5
GGA-PBEsol Cr2OsPt, relaxed; E_form = -20.8 meV per atom
1.0
5.3031 0.0000 0.0000
0.0000 7.3731 0.0000
0.0000 0.0000 2.6370
Cr Os Pt
4 2 2
direct
0.2500 0.2500 0.0000
0.2500 0.7500 0.0000
0.7500 0.2500 0.0000
0.7500 0.7500 0.0000
0.0000 0.0000 0.5000
0.5000 0.5000 0.5000
0.0000 0.5000 0.5000
0.5000 0.0000 0.5000


No. 6
GGA-PBEsol CrOsPt, relaxed; E_form = 21.9 meV per atom
1.0
2.6818 0.0000 0.0000
-1.3409 2.3225 0.0000
0.0000 0.0000 6.5185
Cr Os Pt
1 1 1
direct
0.0000 0.0000 0.0000
0.3333 0.6667 0.6965
0.6667 0.3333 0.3287


No. 7
GGA-PBEsol Cr2OsPt, relaxed; E_form = 15.9 meV per atom
1.0
3.9852 0.0000 0.0000
0.0000 2.6664 0.0000
0.0000 0.0000 9.6895
Cr Os Pt
4 2 2
direct
0.0000 0.0000 0.0000
0.0000 0.5000 0.5000
0.5000 0.0000 0.1200
0.5000 0.5000 0.6200
0.5000 0.0000 0.3939
0.5000 0.5000 0.8939
0.0000 0.0000 0.7347
0.0000 0.5000 0.2347


No. 8
GGA-PBEsol CrRe2Os, relaxed; E_form = 123.1 meV per atom
1.0
2.7084 0.0000 0.0000
0.0000 2.7084 0.0000
0.0000 0.0000 7.4768
Cr Re Os
1 2 1
direct
0.0000 0.0000 0.0000
0.0000 0.0000 0.4922
0.5000 0.5000 0.7586
0.5000 0.5000 0.2320


No. 9
GGA-PBEsol CrRe2Os, relaxed; E_form = 144.2 meV per atom
1.0
2.6958 0.0000 0.0000
0.0000 2.6958 0.0000
0.0000 0.0000 7.5521
Cr Re Os
1 2 1
direct
0.0000 0.0000 0.0000
0.5000 0.5000 0.2405
0.5000 0.5000 0.7595
0.0000 0.0000 0.5000


No. 10
GGA-PBEsol CrOsRh, relaxed; E_form = 46.1 meV per atom
1.0
2.6551 0.0000 0.0000
0.0000 2.6551 0.0000
0.0000 0.0000 11.0248
Cr Os Rh
2 2 2
direct
0.0000 0.0000 0.0000
0.5000 0.5000 0.5000
0.0000 0.0000 0.6582
0.5000 0.5000 0.1582
0.0000 0.0000 0.3382
0.5000 0.5000 0.8382


No. 11
GGA-PBEsol Cr2OsRh, relaxed; E_form = 46.0 meV per atom
1.0
2.6245 0.0000 0.0000
0.0000 3.6470 0.0000
0.0000 0.0000 5.2688
Cr Os Rh
2 1 1
direct
0.0000 0.0000 0.2445
0.0000 0.0000 0.7555
0.5000 0.5000 0.0000
0.5000 0.5000 0.5000


No. 12
GGA-PBEsol Cr2OsRh, relaxed; E_form = 134.9 meV per atom
1.0
2.7859 0.0000 0.0000
0.0000 2.7859 0.0000
0.0000 0.0000 6.4557
Cr Os Rh
2 1 1
direct
0.0000 0.0000 0.0000
0.5000 0.5000 0.1944
0.0000 0.0000 0.4419
0.5000 0.5000 0.7415


No. 13
GGA-PBEsol Cr2OsRh, relaxed; E_form = 39.8 meV per atom
1.0
5.2730 0.0000 0.0000
0.0000 7.2688 0.0000
0.0000 0.0000 2.6268
Cr Os Rh
4 2 2
direct
0.2500 0.2500 0.0000
0.2500 0.7500 0.0000
0.7500 0.2500 0.0000
0.7500 0.7500 0.0000
0.0000 0.0000 0.5000
0.5000 0.5000 0.5000
0.0000 0.5000 0.5000
0.5000 0.0000 0.5000


No. 14
GGA-PBEsol Cr2OsRh, relaxed; E_form = 34.6 meV per atom
1.0
3.7300 0.0000 0.0000
0.0000 3.7300 0.0000
0.0000 0.0000 7.2244
Cr Os Rh
4 2 2
direct
0.0000 0.5000 0.2500
0.0000 0.5000 0.7500
0.5000 0.0000 0.2500
0.5000 0.0000 0.7500
0.0000 0.0000 0.0000
0.5000 0.5000 0.5000
0.0000 0.0000 0.5000
0.5000 0.5000 0.0000


No. 15
GGA-PBEsol Cr4OsRh, relaxed; E_form = -23.9 meV per atom
1.0
0.0000 3.2941 3.2941
3.2941 0.0000 3.2941
3.2941 3.2941 0.0000
Cr Os Rh
4 1 1
direct
0.1251 0.1251 0.1251
0.1251 0.1251 0.6248
0.1251 0.6248 0.1251
0.6248 0.1251 0.1251
0.5000 0.5000 0.5000
0.7500 0.7500 0.7500


No. 16
GGA-PBEsol Cr2OsRh, relaxed; E_form = 39.2 meV per atom
1.0
3.7319 0.0000 0.0000
0.0000 3.7319 0.0000
0.0000 0.0000 3.6083
Cr Os Rh
2 1 1
direct
0.0000 0.5000 0.0000
0.5000 0.0000 0.0000
0.0000 0.0000 0.5000
0.5000 0.5000 0.5000


No. 17
GGA-PBEsol Cr2OsRh, relaxed; E_form = 48.1 meV per atom
1.0
3.9430 0.0000 0.0000
0.0000 2.6387 0.0000
0.0000 0.0000 9.6420
Cr Os Rh
4 2 2
direct
0.0000 0.0000 0.0000
0.0000 0.5000 0.5000
0.5000 0.0000 0.1249
0.5000 0.5000 0.6249
0.5000 0.0000 0.3924
0.5000 0.5000 0.8924
0.0000 0.0000 0.7346
0.0000 0.5000 0.2346


No. 18
GGA-PBEsol Cr2OsRh, relaxed; E_form = 103.3 meV per atom
1.0
4.5090 0.0000 0.0000
0.0000 2.6132 0.0000
-1.5667 0.0000 4.2899
Cr Os Rh
2 1 1
direct
0.0000 0.0000 0.0000
0.0000 0.5000 0.5000
0.5000 0.0000 0.5000
0.5000 0.5000 0.0000


No. 19
GGA-PBEsol Cr2OsRh, relaxed; E_form = 156.0 meV per atom
1.0
2.6375 0.0000 0.0000
-1.3187 2.2841 0.0000
0.0000 0.0000 25.3759
Cr Os Rh
6 3 3
direct
0.0000 0.0000 0.0000
0.0000 0.0000 0.2515
0.3333 0.6667 0.6667
0.3333 0.6667 0.9182
0.6667 0.3333 0.3333
0.6667 0.3333 0.5849
0.0000 0.0000 0.5058
0.3333 0.6667 0.1725
0.6667 0.3333 0.8391
0.0000 0.0000 0.7460
0.3333 0.6667 0.4127
0.6667 0.3333 0.0794


No. 20
GGA-PBEsol CrOsRu2, relaxed; E_form = 108.8 meV per atom
1.0
3.7343 0.0000 0.0000
0.0000 3.7343 0.0000
0.0000 0.0000 7.4882
Cr Os Ru
2 2 4
direct
0.0000 0.0000 0.0000
0.5000 0.5000 0.5000
0.0000 0.5000 0.2500
0.5000 0.0000 0.7500
0.0000 0.0000 0.5000
0.0000 0.5000 0.7500
0.5000 0.0000 0.2500
0.5000 0.5000 0.0000


No. 21
GGA-PBEsol CrOsRu2, relaxed; E_form = 100.8 meV per atom
1.0
3.7334 0.0000 0.0000
0.0000 3.7334 0.0000
0.0000 0.0000 3.7464
Cr Os Ru
1 1 2
direct
0.0000 0.0000 0.0000
0.5000 0.5000 0.0000
0.0000 0.5000 0.5000
0.5000 0.0000 0.5000


No. 22
GGA-PBEsol CrOsRu2, relaxed; E_form = 127.6 meV per atom
1.0
8.7424 0.0000 0.0000
0.0000 2.6574 0.0000
-0.8401 0.0000 4.5042
Cr Os Ru
2 2 4
direct
0.0000 0.0000 0.0000
0.5000 0.5000 0.0000
0.2480 0.5000 0.2512
0.7480 0.0000 0.2512
0.9999 0.5000 0.5029
0.2538 0.0000 0.7643
0.4999 0.0000 0.5029
0.7538 0.5000 0.7643


No. 23
GGA-PBEsol CrOs3Ru, relaxed; E_form = 2504.4 meV per atom
1.0
4.5798 0.0000 0.0000
0.0000 4.5798 0.0000
0.0000 0.0000 4.5798
Cr Os Ru
1 3 1
direct
0.0000 0.0000 0.0000
0.0000 0.5000 0.5000
0.5000 0.0000 0.5000
0.5000 0.5000 0.0000
0.5000 0.5000 0.5000


No. 24
GGA-PBEsol CrOsRu2, relaxed; E_form = 350.7 meV per atom
1.0
2.7612 0.0000 0.0000
0.0000 4.3028 0.0000
0.0000 0.0000 8.9092
Cr Os Ru
2 2 4
direct
0.0000 0.0000 0.0000
0.5000 0.5000 0.5000
0.0000 0.0000 0.5000
0.5000 0.5000 0.0000
0.0000 0.5000 0.2784
0.0000 0.5000 0.7216
0.5000 0.0000 0.2216
0.5000 0.0000 0.7784


No. 25
GGA-PBEsol CrOsRu2, relaxed; E_form = 133.5 meV per atom
1.0
2.6502 0.0000 0.0000
0.0000 2.6502 0.0000
0.0000 0.0000 7.4316
Cr Os Ru
1 1 2
direct
0.0000 0.0000 0.0000
0.5000 0.5000 0.2454
0.0000 0.0000 0.5025
0.5000 0.5000 0.7638


No. 26
GGA-PBEsol CrOsRu, relaxed; E_form = 893.2 meV per atom
1.0
5.7283 0.0000 0.0000
0.0000 5.7283 0.0000
0.0000 0.0000 5.7283
Cr Os Ru
4 4 4
direct
0.0000 0.0000 0.0000
0.0000 0.5000 0.5000
0.5000 0.0000 0.5000
0.5000 0.5000 0.0000
0.0000 0.0000 0.5000
0.0000 0.5000 0.0000
0.5000 0.0000 0.0000
0.5000 0.5000 0.5000
0.2500 0.2500 0.7500
0.2500 0.7500 0.2500
0.7500 0.2500 0.2500
0.7500 0.7500 0.7500


No. 27
GGA-PBEsol CrSbOs2, relaxed; uncorrected formation energy = 433 meV/atom
1.0
4.3584 0.0000 0.0000
0.0000 4.3584 0.0000
0.0000 0.0000 3.1670
Cr Sb Os
1 1 2
direct
0.0000 0.0000 0.0000
0.5000 0.5000 0.0000
0.0000 0.5000 0.5000
0.5000 0.0000 0.5000


No. 28
GGA-PBEsol CrSbOs3, relaxed; uncorrected formation energy = 1654 meV/atom
1.0
4.4521 0.0000 0.0000
0.0000 4.4521 0.0000
0.0000 0.0000 4.4521
Cr Sb Os
1 1 3
direct
0.0000 0.0000 0.0000
0.5000 0.5000 0.5000
0.0000 0.0000 0.5000
0.0000 0.5000 0.0000
0.5000 0.0000 0.0000


No. 29
GGA-PBEsol CrSb2TeOs, relaxed; uncorrected formation energy = 1367 meV/atom
1.0
4.8243 0.0000 0.0000
0.0000 4.8243 0.0000
0.0000 0.0000 4.8123
Cr Sb Te Os
1 2 1 1
direct
0.0000 0.0000 0.0000
0.0000 0.5000 0.0000
0.5000 0.0000 0.0000
0.0000 0.0000 0.5000
0.5000 0.5000 0.5000


No. 30
GGA-PBEsol ScCr2Os, relaxed; E_form = 192.1 meV per atom
1.0
5.1445 0.0000 0.0000
0.0000 8.3655 0.0000
-0.8904 0.0000 2.5311
Sc Cr Os
2 4 2
direct
0.0000 0.0000 0.0000
0.5000 0.5000 0.0000
0.2500 0.2500 0.5000
0.2500 0.7500 0.5000
0.7500 0.2500 0.5000
0.7500 0.7500 0.5000
0.0000 0.5000 0.0000
0.5000 0.0000 0.0000


No. 31
GGA-PBEsol ScCr2Os, relaxed; E_form = 352.7 meV per atom
1.0
3.5980 0.0000 0.0000
0.0000 3.5980 0.0000
0.0000 0.0000 8.6498
Sc Cr Os
2 4 2
direct
0.0000 0.0000 0.0000
0.5000 0.5000 0.5000
0.0000 0.5000 0.2500
0.0000 0.5000 0.7500
0.5000 0.0000 0.2500
0.5000 0.0000 0.7500
0.0000 0.0000 0.5000
0.5000 0.5000 0.0000


The records above give, respectively, mass density values of 17.04, 15.74, 18.38, 18.89, 15.76, 17.89, 15.78, 18.61, 18.60, 14.75, 13.08, 13.16, 13.10, 13.12, 11.64, 13.12, 13.15, 13.05, 12.94, 14.13, 14.13, 14.10, 12.51, 13.94, 14.14, 12.13, 15.30, 14.01, 9.09, 10.34, 10.06 g/cm³.